Compound: LaUSn6
Source: Alexandria
Functional: PBE
Structure: optimized geometry

a b c (Å): 4.7141 4.7141 9.4529
angles (deg): 90.00 90.00 90.00
With the nearest neighbours (Å) after each atom.
Fractional positions:
La 0.0000 0.0000 0.0000  12 Sn 3.33-3.40
U 0.0000 0.0000 0.5000  12 Sn 3.28-3.33
Sn 0.0000 0.5000 0.2586  8 Sn 3.28-3.40, 2 U 3.28, 2 La 3.40
Sn 0.0000 0.5000 0.7414  8 Sn 3.28-3.40, 2 U 3.28, 2 La 3.40
Sn 0.5000 0.0000 0.2586  8 Sn 3.28-3.40, 2 U 3.28, 2 La 3.40
Sn 0.5000 0.0000 0.7414  8 Sn 3.28-3.40, 2 U 3.28, 2 La 3.40
Sn 0.5000 0.5000 0.0000  4 La 3.33, 8 Sn 3.40
Sn 0.5000 0.5000 0.5000  8 Sn 3.28, 4 U 3.33

As for the space-group type: P4/mmm.

***

Compound: Dy3HoIn4
Source: Alexandria
Functional: PBE
Structure: optimized geometry

a b c (Å): 3.4460 6.8532 19.2670
angles (deg): 90.00 90.00 90.00
With the nearest neighbours (Å) after each atom.
Fractional positions:
Dy 0.0000 0.0000 0.0000  8 In 3.34, 2 Dy 3.45
Dy 0.0000 0.5000 0.2249  6 In 3.20-3.24, 2 Dy 3.45
Dy 0.0000 0.5000 0.7751  6 In 3.20-3.24, 2 Dy 3.45
Dy 0.5000 0.0000 0.2751  6 In 3.20-3.24, 2 Dy 3.45
Dy 0.5000 0.0000 0.7249  6 In 3.20-3.24, 2 Dy 3.45
Dy 0.5000 0.5000 0.5000  8 In 3.34, 2 Dy 3.45
Ho 0.0000 0.0000 0.5000  4 In 3.10, 2 Ho 3.45
Ho 0.5000 0.5000 0.0000  4 In 3.10, 2 Ho 3.45
In 0.0000 0.2795 0.3737  1 In 3.02, 1 Ho 3.10, 5 Dy 3.20-3.34
In 0.0000 0.2795 0.6263  1 In 3.02, 1 Ho 3.10, 5 Dy 3.20-3.34
In 0.0000 0.7205 0.3737  1 In 3.02, 1 Ho 3.10, 5 Dy 3.20-3.34
In 0.0000 0.7205 0.6263  1 In 3.02, 1 Ho 3.10, 5 Dy 3.20-3.34
In 0.5000 0.2205 0.1263  1 In 3.02, 1 Ho 3.10, 5 Dy 3.20-3.34
In 0.5000 0.2205 0.8737  1 In 3.02, 1 Ho 3.10, 5 Dy 3.20-3.34
In 0.5000 0.7795 0.1263  1 In 3.02, 1 Ho 3.10, 5 Dy 3.20-3.34
In 0.5000 0.7795 0.8737  1 In 3.02, 1 Ho 3.10, 5 Dy 3.20-3.34

As for the space-group type: Immm.

***

Compound: ScPaTa4
Source: Alexandria
Functional: PBE
Structure: optimized geometry

a b c (Å): 5.6244 5.6244 5.6244
angles (deg): 60.00 60.00 60.00
With the nearest neighbours (Å) after each atom.
Fractional positions:
Sc 0.0000 0.0000 0.0000  12 Ta 3.30, 4 Pa 3.44
Pa 0.2500 0.2500 0.2500  12 Ta 3.30, 4 Sc 3.44
Ta 0.1266 0.6245 0.6245  6 Ta 2.80-2.82
Ta 0.6245 0.1266 0.6245  6 Ta 2.80-2.82
Ta 0.6245 0.6245 0.1266  6 Ta 2.80-2.82
Ta 0.6245 0.6245 0.6245  6 Ta 2.80-2.82

As for the space-group type: F-43m.

***

The following uncorrected energy values (in eV for the cell shown) correspond, in order, to the records above: -43.08; -63.58; -62.27.
The following ρ values (in g/cm³) correspond, in order, to the records above: 8.61; 8.11; 13.20.
The following formation energy values (in eV/atom) correspond, in order, to the records above: -0.36; -0.31; 0.16.